8
Lattice="3.141 0.000 0.000 0.000 5.445 0.000 0.000 0.000 10.332" Properties=species:S:1:pos:R:3 comment="AgWBr2, relaxed, DFT PBE" e_form_raw_ev_per_atom=0.55 e_above_lowest_polymorph_ev_per_atom=0.203 pbc="T T T"
Ag 0.000 0.000 0.000
Ag 1.571 2.723 0.000
W 0.000 2.723 7.997
W 1.571 0.000 7.997
Br 0.000 0.000 5.950
Br 0.000 2.723 2.302
Br 1.571 0.000 2.302
Br 1.571 2.723 5.950

12
Lattice="3.381 0.000 0.000 -1.691 2.928 0.000 0.000 0.000 32.379" Properties=species:S:1:pos:R:3 comment="Gd2TmTc, relaxed, DFT PBE" formation_energy_mev_per_atom=581.0 e_above_lowest_polymorph_ev_per_atom=0.521 pbc="T T T"
Gd 0.000 0.000 2.482
Gd 0.000 0.000 29.897
Gd 0.000 1.952 19.104
Gd 0.000 1.952 24.068
Gd 1.691 0.976 8.311
Gd 1.691 0.976 13.275
Tm 0.000 0.000 16.189
Tm 0.000 1.952 5.397
Tm 1.691 0.976 26.982
Tc 0.000 0.000 0.000
Tc 0.000 1.952 21.586
Tc 1.691 0.976 10.793

15
Lattice="6.006 0.000 0.000 -3.003 5.201 0.000 0.000 0.000 8.066" Properties=species:S:1:pos:R:3 comment="Er3Ga2SiNi9, relaxed, DFT PBE" e_form_raw_ev_per_atom=-0.19 pbc="T T T"
Er 0.000 0.000 0.000
Er 0.000 3.468 5.589
Er 3.003 1.734 2.478
Ga 0.000 3.468 1.567
Ga 3.003 1.734 6.500
Si 0.000 0.000 4.033
Ni -1.502 2.601 0.000
Ni 0.000 1.387 2.308
Ni -1.802 4.508 2.308
Ni 1.201 0.694 5.758
Ni 3.003 0.000 0.000
Ni 1.502 2.601 0.000
Ni 1.802 4.508 2.308
Ni 4.805 0.694 5.758
Ni 3.003 3.814 5.758

6
Lattice="0.000 3.714 3.714 3.714 0.000 3.714 3.714 3.714 0.000" Properties=species:S:1:pos:R:3 comment="AsPt4Rh, relaxed, DFT PBE" formation_energy_mev_per_atom=317.0 pbc="T T T"
As 0.000 0.000 0.000
Pt 4.640 2.789 2.789
Pt 2.789 4.640 2.789
Pt 2.789 2.789 4.640
Pt 4.640 4.640 4.640
Rh 1.857 1.857 1.857

7
Lattice="2.416 1.395 10.072 -2.416 1.395 10.072 0.000 -2.790 10.072" Properties=species:S:1:pos:R:3 comment="KMg2In2Hg2, relaxed, DFT PBE" formation_energy_mev_per_atom=-126.2 pbc="T T T"
K 0.000 0.000 0.000
Mg 0.000 0.000 4.225
Mg 0.000 0.000 25.990
In 0.000 0.000 7.621
In 0.000 0.000 22.594
Hg 0.000 0.000 13.396
Hg 0.000 0.000 16.819

8
Lattice="9.190 0.000 0.000 0.000 2.984 0.000 -0.991 0.000 5.262" Properties=species:S:1:pos:R:3 comment="In2MoIr, relaxed, DFT PBE" formation_energy_mev_per_atom=297.9 e_above_lowest_polymorph_ev_per_atom=0.302 pbc="T T T"
In 2.025 0.000 1.286
In 1.579 1.492 3.976
In 6.621 1.492 1.286
In 6.174 0.000 3.976
Mo -0.495 0.000 2.631
Mo 4.100 1.492 2.631
Ir 0.000 1.492 0.000
Ir 4.595 0.000 0.000